Arrangement 1

Here is a relaxed structure of PdPbS2N from the Alexandria database. Energies are from GGA-PBE.

Space-group type: P4/mmm, No. 123
Mass density: 5.6 g cm⁻³
Crystal system: tetragonal

abc: 5.2207 5.2207 4.2325
angles: 90.00 90.00 90.00
Closest atoms and distances in Å follow each position.
Fractional coordinates of all 5 atoms:
Pd 0.0000 0.0000 0.0000  8 S 3.36, 4 N 3.69
Pb 0.5000 0.5000 0.5000  2 N 2.12
S 0.0000 0.5000 0.5000  2 Pb 2.61
S 0.5000 0.0000 0.5000  2 Pb 2.61
N 0.5000 0.5000 0.0000  2 Pb 2.12


Arrangement 2

Here is a relaxed structure of PdPbS2N from the Alexandria database. Energies are from GGA-PBE.

Space-group type: P4/mmm, No. 123
Mass density: 6.5 g cm⁻³
Crystal system: tetragonal

abc: 5.1511 5.1511 3.7962
angles: 90.00 90.00 90.00
Closest atoms and distances in Å follow each position.
Fractional coordinates of all 5 atoms:
Pd 0.0000 0.0000 0.0000  2 N 1.90
Pb 0.5000 0.5000 0.5000  8 S 3.20
S 0.0000 0.5000 0.0000  2 Pd 2.58
S 0.5000 0.0000 0.0000  2 Pd 2.58
N 0.0000 0.0000 0.5000  2 Pd 1.90


Q: Which of them is the least stable? A: arrangement 1.


Arrangement 1

Here is a relaxed structure of PdPbSe2N from the Alexandria database. Energies are from GGA-PBE.

Space-group type: P4/mmm, No. 123
Mass density: 6.4 g cm⁻³
Crystal system: tetragonal

abc: 5.4522 5.4522 4.2390
angles: 90.00 90.00 90.00
Closest atoms and distances in Å follow each position.
Fractional coordinates of all 5 atoms:
Pd 0.0000 0.0000 0.0000  8 Se 3.45, 4 N 3.86
Pb 0.5000 0.5000 0.5000  2 N 2.12
Se 0.0000 0.5000 0.5000  2 Pb 2.73
Se 0.5000 0.0000 0.5000  2 Pb 2.73
N 0.5000 0.5000 0.0000  2 Pb 2.12


Arrangement 2

Here is a relaxed structure of PdPbSe2N from the Alexandria database. Energies are from GGA-PBE.

Space-group type: P4/mmm, No. 123
Mass density: 7.0 g cm⁻³
Crystal system: tetragonal

abc: 5.5331 5.5331 3.7810
angles: 90.00 90.00 90.00
Closest atoms and distances in Å follow each position.
Fractional coordinates of all 5 atoms:
Pd 0.0000 0.0000 0.0000  2 N 1.89
Pb 0.5000 0.5000 0.5000  8 Se 3.35
Se 0.0000 0.5000 0.0000  2 Pd 2.77
Se 0.5000 0.0000 0.0000  2 Pd 2.77
N 0.0000 0.0000 0.5000  2 Pd 1.89


Q: Which of them is the least stable? A: arrangement 1.


Arrangement 1

Here is a relaxed structure of TePdPbN2 from the Alexandria database. Energies are from GGA-PBE.

Space-group type: P4/mmm, No. 123
Mass density: 7.3 g cm⁻³
Crystal system: tetragonal

abc: 4.1984 4.1984 6.0666
angles: 90.00 90.00 90.00
Closest atoms and distances in Å follow each position.
Fractional coordinates of all 5 atoms:
Te 0.0000 0.0000 0.0000  4 Pb 2.97
Pd 0.5000 0.5000 0.5000  4 N 2.10
Pb 0.5000 0.5000 0.0000  4 Te 2.97, 2 Pd 3.03
N 0.0000 0.5000 0.5000  2 Pd 2.10
N 0.5000 0.0000 0.5000  2 Pd 2.10


Arrangement 2

Here is a relaxed structure of TePdPbN2 from the Alexandria database. Energies are from GGA-PBE.

Space-group type: P4/mmm, No. 123
Mass density: 7.5 g cm⁻³
Crystal system: tetragonal

abc: 4.2867 4.2867 5.6661
angles: 90.00 90.00 90.00
Closest atoms and distances in Å follow each position.
Fractional coordinates of all 5 atoms:
Te 0.0000 0.0000 0.0000  2 Pd 2.83, 4 Pb 3.03
Pd 0.0000 0.0000 0.5000  4 N 2.14
Pb 0.5000 0.5000 0.0000  4 Te 3.03
N 0.0000 0.5000 0.5000  2 Pd 2.14
N 0.5000 0.0000 0.5000  2 Pd 2.14


Arrangement 3

Here is a relaxed structure of TePdPbN2 from the Alexandria database. Energies are from GGA-PBE.

Space-group type: P4/mmm, No. 123
Mass density: 6.7 g cm⁻³
Crystal system: tetragonal

abc: 4.2970 4.2970 6.2794
angles: 90.00 90.00 90.00
Closest atoms and distances in Å follow each position.
Fractional coordinates of all 5 atoms:
Te 0.0000 0.0000 0.0000  4 Pd 3.04, 2 Pb 3.14
Pd 0.5000 0.5000 0.0000  4 Te 3.04
Pb 0.0000 0.0000 0.5000  4 N 2.15
N 0.0000 0.5000 0.5000  2 Pb 2.15
N 0.5000 0.0000 0.5000  2 Pb 2.15


Q: Which of them is the least stable? A: arrangement 3.


Arrangement 1

Here is a relaxed structure of Pm4Pb2N from the Alexandria database. Energies are from GGA-PBE.

Space-group type: P2_1/m, No. 11
Mass density: 8.0 g cm⁻³
Crystal system: monoclinic

abc: 6.7186 6.9413 9.5106
angles: 90.00 110.21 90.00
Closest atoms and distances in Å follow each position.
Fractional coordinates of all 14 atoms:
Pm 0.1811 0.2500 0.0473  1 N 2.30
Pm 0.2406 0.9998 0.7179  1 N 2.25
Pm 0.2406 0.5002 0.7179  1 N 2.25
Pm 0.2690 0.7500 0.3415  1 N 2.29
Pm 0.7310 0.2500 0.6585  1 N 2.29
Pm 0.7594 0.0002 0.2821  1 N 2.25
Pm 0.7594 0.4998 0.2821  1 N 2.25
Pm 0.8189 0.7500 0.9527  1 N 2.30
Pb 0.2346 0.2500 0.4091  8 Pm 3.33-3.55
Pb 0.3393 0.7500 0.0311  6 Pm 3.15-3.47
Pb 0.6607 0.2500 0.9689  6 Pm 3.15-3.47
Pb 0.7654 0.7500 0.5909  8 Pm 3.33-3.55
N 0.0876 0.2500 0.7911  4 Pm 2.25-2.30
N 0.9124 0.7500 0.2089  4 Pm 2.25-2.30


Arrangement 2

Here is a relaxed structure of Pm4Pb2N from the Alexandria database. Energies are from GGA-PBE.

Space-group type: I4/mmm, No. 139
Mass density: 8.4 g cm⁻³
Crystal system: tetragonal

abc: 8.9749 8.9749 8.9749
angles: 148.29 148.29 45.45
Closest atoms and distances in Å follow each position.
Fractional coordinates of all 7 atoms:
Pm 0.0000 0.5000 0.5000  2 N 2.45
Pm 0.1581 0.1581 0.0000  1 N 2.62
Pm 0.5000 0.0000 0.5000  2 N 2.45
Pm 0.8419 0.8419 0.0000  1 N 2.62
Pb 0.3566 0.3566 0.0000  9 Pm 3.29-3.48
Pb 0.6434 0.6434 0.0000  9 Pm 3.29-3.48
N 0.0000 0.0000 0.0000  6 Pm 2.45-2.62


Q: Which of them is the least stable? A: arrangement 1.


Arrangement 1

Here is a relaxed structure of PmPbN from the Alexandria database. Energies are from GGA-PBE.

Space-group type: P3m1, No. 156
Mass density: 8.1 g cm⁻³
Crystal system: trigonal

abc: 3.8144 3.8144 5.9431
angles: 90.00 90.00 120.00
Closest atoms and distances in Å follow each position.
Fractional coordinates of all 3 atoms:
Pm 0.0000 0.0000 0.0000  3 N 2.29
Pb 0.6667 0.3333 0.5229  3 N 3.13
N 0.3333 0.6667 0.8967  3 Pm 2.29


Arrangement 2

Here is a relaxed structure of PmPbN from the Alexandria database. Energies are from GGA-PBE.

Space-group type: P4_2/mmc, No. 131
Mass density: 6.8 g cm⁻³
Crystal system: tetragonal

abc: 8.7211 8.7211 4.7287
angles: 90.00 90.00 90.00
Closest atoms and distances in Å follow each position.
Fractional coordinates of all 12 atoms:
Pm 0.0000 0.2045 0.0000  4 N 2.32-2.38
Pm 0.0000 0.7955 0.0000  4 N 2.32-2.38
Pm 0.2045 0.0000 0.5000  4 N 2.32-2.38
Pm 0.7955 0.0000 0.5000  4 N 2.32-2.38
Pb 0.3132 0.5000 0.0000  5 Pb 3.26-3.30
Pb 0.5000 0.3132 0.5000  5 Pb 3.26-3.30
Pb 0.5000 0.6868 0.5000  5 Pb 3.26-3.30
Pb 0.6868 0.5000 0.0000  5 Pb 3.26-3.30
N 0.0000 0.1709 0.5000  4 Pm 2.32-2.38
N 0.0000 0.8291 0.5000  4 Pm 2.32-2.38
N 0.1709 0.0000 0.0000  4 Pm 2.32-2.38
N 0.8291 0.0000 0.0000  4 Pm 2.32-2.38


Q: Which of them is the least stable? A: arrangement 1.


Arrangement 1

Here is a relaxed structure of Pt2PbN from the Alexandria database. Energies are from GGA-PBE.

Space-group type: Fm-3m, No. 225
Mass density: 15.6 g cm⁻³
Crystal system: cubic

abc: 4.5158 4.5158 4.5158
angles: 60.00 60.00 60.00
Closest atoms and distances in Å follow each position.
Fractional coordinates of all 4 atoms:
Pt 0.2500 0.2500 0.2500  4 N 2.77, 4 Pb 2.77
Pt 0.7500 0.7500 0.7500  4 N 2.77, 4 Pb 2.77
Pb 0.0000 0.0000 0.0000  8 Pt 2.77
N 0.5000 0.5000 0.5000  8 Pt 2.77


Arrangement 2

Here is a relaxed structure of Pt2PbN from the Alexandria database. Energies are from GGA-PBE.

Space-group type: I-42d, No. 122
Mass density: 12.7 g cm⁻³
Crystal system: tetragonal

abc: 7.1651 7.1651 7.1651
angles: 138.59 138.59 60.01
Closest atoms and distances in Å follow each position.
Fractional coordinates of all 8 atoms:
Pt 0.3750 0.1973 0.3223  2 N 2.04
Pt 0.8027 0.1250 0.1777  2 N 2.04
Pt 0.8750 0.0527 0.6777  2 N 2.04
Pt 0.9473 0.6250 0.8223  2 N 2.04
Pb 0.2500 0.7500 0.5000  4 Pt 2.95
Pb 0.5000 0.5000 0.0000  4 Pt 2.95
N 0.0000 0.0000 0.0000  4 Pt 2.04
N 0.7500 0.2500 0.5000  4 Pt 2.04


Q: Which of them is the least stable? A: arrangement 1.